A geometry-optimized ReTeRh3 structure. Source: Alexandria via LeMat-Bulk, functional PBE-GGA.

```
5
Lattice="4.775 0.000 0.000 0.000 4.775 0.000 0.000 0.000 4.775" Properties=species:S:1:pos:R:3 pbc="T T T"
Re 0.000 0.000 0.000
Te 2.387 2.387 2.387
Rh 0.000 2.387 2.387
Rh 2.387 0.000 2.387
Rh 2.387 2.387 0.000
```

* uncorrected formation energy: 8.03 eV per formula unit
* offset from the most stable computed form: 0.545 eV/atom



A geometry-optimized TaZnIr3 structure. Source: Alexandria via LeMat-Bulk, functional PBE-GGA.

```
10
Lattice="6.396 0.000 0.000 -3.198 5.539 0.000 0.000 0.000 4.554" Properties=species:S:1:pos:R:3 pbc="T T T"
Ta 0.000 3.693 1.139
Ta 3.198 1.846 3.416
Zn 0.000 0.000 0.000
Zn 0.000 0.000 2.277
Ir 0.000 2.187 3.416
Ir -1.304 4.446 3.416
Ir 1.894 1.093 1.139
Ir 1.304 4.446 3.416
Ir 4.502 1.093 1.139
Ir 3.198 3.352 1.139
```

* ΔH_f (0 K): 13.87 kJ/mol of atoms
* offset from the most stable computed form: 0.000 eV/atom



A geometry-optimized Li6BiPd structure. Source: Alexandria via LeMat-Bulk, functional PBE-GGA.

```
8
Lattice="4.698 0.000 0.000 0.000 2.937 5.078 0.000 -2.937 5.078" Properties=species:S:1:pos:R:3 pbc="T T T"
Li 0.000 0.000 0.000
Li 0.000 -1.375 2.378
Li 0.000 1.375 2.378
Li 2.349 -1.432 4.153
Li 2.349 1.432 4.153
Li 2.349 0.000 6.627
Bi 0.000 0.000 4.972
Pd 2.349 0.000 1.592
```

* ΔH_f (0 K): -31.55 kJ/mol of atoms



A geometry-optimized NaY2AlO5 structure. Source: Alexandria via LeMat-Bulk, functional PBE-GGA.

```
18
Lattice="6.450 0.000 0.000 0.000 6.450 0.000 0.000 0.000 5.593" Properties=species:S:1:pos:R:3 pbc="T T T"
Na 0.000 0.000 0.000
Na 3.225 3.225 0.000
Y 1.154 2.070 2.797
Y 2.070 5.295 2.797
Y 4.379 1.154 2.797
Y 5.295 4.379 2.797
Al 0.000 3.225 0.000
Al 3.225 0.000 0.000
O 0.000 0.000 2.797
O 0.875 4.100 1.318
O 0.875 4.100 4.275
O 2.350 0.875 1.318
O 2.350 0.875 4.275
O 3.225 3.225 2.797
O 4.100 5.575 1.318
O 4.100 5.575 4.275
O 5.575 2.350 1.318
O 5.575 2.350 4.275
```

* uncorrected formation energy: -25.75 eV per formula unit



A geometry-optimized AcNdGe2 structure. Source: Alexandria via LeMat-Bulk, functional PBE-GGA.

```
4
Lattice="4.185 0.000 0.000 0.000 2.314 5.770 0.000 -2.314 5.770" Properties=species:S:1:pos:R:3 pbc="T T T"
Ac 0.000 0.000 0.000
Nd 2.093 0.000 3.185
Ge 0.000 0.000 8.340
Ge 2.093 0.000 6.570
```

* ΔH_f (0 K): -71.45 kJ/mol of atoms



A geometry-optimized Mg2HgAs structure. Source: Alexandria via LeMat-Bulk, functional PBE-GGA.

```
4
Lattice="3.636 -2.052 0.000 3.636 2.052 0.000 -2.185 0.000 6.193" Properties=species:S:1:pos:R:3 pbc="T T T"
Mg 1.237 0.000 1.246
Mg 3.849 0.000 4.946
Hg -1.093 0.000 3.096
As 3.636 0.000 0.000
```

* ΔH_f (0 K): -32.69 kJ/mol of atoms
* offset from the most stable computed form: 0.030 eV/atom



A geometry-optimized Sr2BeSnPt6 structure. Source: Alexandria via LeMat-Bulk, functional PBE-GGA.

```
10
Lattice="5.428 -3.103 0.000 5.428 3.103 0.000 -3.647 0.000 6.217" Properties=species:S:1:pos:R:3 pbc="T T T"
Sr 1.804 0.000 1.072
Sr 5.404 0.000 5.144
Be -1.823 0.000 3.108
Sn 5.428 0.000 0.000
Pt 0.189 0.000 4.078
Pt 2.599 1.383 4.089
Pt 4.609 1.383 2.128
Pt 2.599 -1.383 4.089
Pt 4.609 -1.383 2.128
Pt 7.019 0.000 2.139
```

* ΔH_f (0 K): -60.93 kJ/mol of atoms



A geometry-optimized Ac8ZnGe2 structure. Source: Alexandria via LeMat-Bulk, functional PBE-GGA.

```
11
Lattice="10.232 -2.698 0.000 10.232 2.698 0.000 -1.559 0.000 7.294" Properties=species:S:1:pos:R:3 pbc="T T T"
Ac 0.100 0.000 2.005
Ac 2.969 0.000 6.119
Ac 6.105 0.000 3.736
Ac 8.326 0.000 0.253
Ac 10.579 0.000 7.041
Ac 12.799 0.000 3.557
Ac 15.936 0.000 1.175
Ac 18.804 0.000 5.289
Zn 9.452 0.000 3.647
Ge 3.405 0.000 1.892
Ge 15.500 0.000 5.402
```

* ΔH_f (0 K): -22.52 kJ/mol of atoms



A geometry-optimized InSnCl3 structure. Source: Alexandria via LeMat-Bulk, functional PBE-GGA.

```
20
Lattice="8.510 0.000 0.000 0.000 10.373 0.000 0.000 0.000 7.784" Properties=species:S:1:pos:R:3 pbc="T T T"
In 0.000 0.000 0.000
In 0.000 5.186 0.000
In 4.255 0.000 3.892
In 4.255 5.186 3.892
Sn 0.212 2.593 3.778
Sn 4.043 7.779 7.670
Sn 4.467 2.593 0.114
Sn 8.298 7.779 4.006
Cl 0.932 7.779 1.722
Cl 1.368 5.973 4.985
Cl 1.368 9.586 4.985
Cl 2.887 0.786 1.093
Cl 2.887 4.400 1.093
Cl 3.323 2.593 5.615
Cl 5.187 7.779 2.170
Cl 5.623 5.973 6.691
Cl 5.623 9.586 6.691
Cl 7.142 0.786 2.799
Cl 7.142 4.400 2.799
Cl 7.578 2.593 6.062
```

* uncorrected formation energy: -4.63 eV per formula unit



A geometry-optimized Na2NiPbN structure. Source: Alexandria via LeMat-Bulk, functional PBE-GGA.

```
5
Lattice="5.488 0.000 0.000 0.000 5.488 0.000 0.000 0.000 3.420" Properties=species:S:1:pos:R:3 pbc="T T T"
Na 0.000 2.744 0.000
Na 2.744 0.000 0.000
Ni 0.000 0.000 1.710
Pb 2.744 2.744 1.710
N 0.000 0.000 0.000
```

* uncorrected formation energy: 0.36 eV per formula unit



A geometry-optimized Tb4Al16Pt3 structure. Source: Alexandria via LeMat-Bulk, functional PBE-GGA.

```
23
Lattice="6.188 0.000 0.000 0.000 6.188 0.000 0.000 0.000 11.203" Properties=species:S:1:pos:R:3 pbc="T T T"
Tb 0.000 3.094 2.128
Tb 0.000 3.094 9.075
Tb 3.094 0.000 2.128
Tb 3.094 0.000 9.075
Al 0.000 0.000 2.215
Al 0.000 0.000 8.988
Al 1.317 1.317 0.000
Al 1.317 4.871 0.000
Al 1.517 1.517 4.222
Al 1.517 1.517 6.981
Al 1.517 4.670 4.222
Al 1.517 4.670 6.981
Al 3.094 3.094 2.546
Al 3.094 3.094 8.657
Al 4.670 1.517 4.222
Al 4.670 1.517 6.981
Al 4.670 4.670 4.222
Al 4.670 4.670 6.981
Al 4.871 1.317 0.000
Al 4.871 4.871 0.000
Pt 0.000 3.094 5.601
Pt 3.094 0.000 5.601
Pt 3.094 3.094 0.000
```

* ΔH_f (0 K): -64.07 kJ/mol of atoms



A geometry-optimized CeAl2Cu3 structure. Source: Alexandria via LeMat-Bulk, functional PBE-GGA.

```
6
Lattice="2.656 -4.428 0.000 2.656 4.428 0.000 0.000 0.000 4.188" Properties=species:S:1:pos:R:3 pbc="T T T"
Ce 0.000 0.000 0.000
Al 1.328 2.214 2.094
Al 1.328 -2.214 2.094
Cu 2.656 1.441 0.000
Cu 2.656 0.000 2.094
Cu 2.656 -1.441 0.000
```

* ΔH_f (0 K): -35.12 kJ/mol of atoms



Repeat the first record exactly.
A geometry-optimized ReTeRh3 structure. Source: Alexandria via LeMat-Bulk, functional PBE-GGA.

```
5
Lattice="4.775 0.000 0.000 0.000 4.775 0.000 0.000 0.000 4.775" Properties=species:S:1:pos:R:3 pbc="T T T"
Re 0.000 0.000 0.000
Te 2.387 2.387 2.387
Rh 0.000 2.387 2.387
Rh 2.387 0.000 2.387
Rh 2.387 2.387 0.000
```

* uncorrected formation energy: 8.03 eV per formula unit
* offset from the most stable computed form: 0.545 eV/atom



Repeat the first record exactly.
A geometry-optimized ReTeRh3 structure. Source: Alexandria via LeMat-Bulk, functional PBE-GGA.

```
5
Lattice="4.775 0.000 0.000 0.000 4.775 0.000 0.000 0.000 4.775" Properties=species:S:1:pos:R:3 pbc="T T T"
Re 0.000 0.000 0.000
Te 2.387 2.387 2.387
Rh 0.000 2.387 2.387
Rh 2.387 0.000 2.387
Rh 2.387 2.387 0.000
```

* uncorrected formation energy: 8.03 eV per formula unit
* offset from the most stable computed form: 0.545 eV/atom